No. 1
DFT (PBE) results for a relaxed structure of ReB2IrCl.

a b c (Å): 4.0259 4.0259 5.3030
angles (deg): 90.00 90.00 90.00
Space group P4/mmm (No. 123)
One atom of each set of equivalent atoms:
Re  0.0000  0.0000  0.0000 [1 per cell]
B  0.0000  0.5000  0.5000 [2 per cell]
Ir  0.5000  0.5000  0.5000 [1 per cell]
Cl  0.5000  0.5000  0.0000 [1 per cell]

Output
- ΔE_f (raw) (eV/atom) = 1.69

---

No. 2
DFT (PBE) results for a relaxed structure of BIr2RhCl.

a b c (Å): 4.4876 4.4876 3.6837
angles (deg): 90.00 90.00 90.00
Space group P4/mmm (No. 123)
One atom of each set of equivalent atoms:
B  0.0000  0.0000  0.0000 [1 per cell]
Ir  0.0000  0.5000  0.5000 [2 per cell]
Rh  0.5000  0.5000  0.0000 [1 per cell]
Cl  0.0000  0.0000  0.5000 [1 per cell]

Output
- ΔE_f (raw) (eV/atom) = 1.89

---

No. 3
DFT (PBE) results for a relaxed structure of BIrS2Cl.

a b c (Å): 4.2460 4.2460 3.9240
angles (deg): 90.00 90.00 90.00
Space group P4/mmm (No. 123)
One atom of each set of equivalent atoms:
B  0.0000  0.0000  0.0000 [1 per cell]
Ir  0.5000  0.5000  0.5000 [1 per cell]
S  0.0000  0.5000  0.0000 [2 per cell]
Cl  0.0000  0.0000  0.5000 [1 per cell]

Output
- energy relative to the lowest polymorph listed for this composition (meV per atom) = 0
- ΔE_f (raw) (eV/atom) = 1.10

---

No. 4
DFT (PBE) results for a relaxed structure of BIrS2Cl.

a b c (Å): 4.6019 4.6019 4.9526
angles (deg): 90.00 90.00 90.00
Space group P4/mmm (No. 123)
One atom of each set of equivalent atoms:
B  0.0000  0.0000  0.0000 [1 per cell]
Ir  0.5000  0.5000  0.5000 [1 per cell]
S  0.0000  0.5000  0.5000 [2 per cell]
Cl  0.5000  0.5000  0.0000 [1 per cell]

Output
- energy relative to the lowest polymorph listed for this composition (meV per atom) = 73
- ΔE_f (raw) (eV/atom) = 1.18

---

No. 5
DFT (PBE) results for a relaxed structure of SrB2IrCl.

a b c (Å): 4.0895 4.0895 5.8138
angles (deg): 90.00 90.00 90.00
Space group P4/mmm (No. 123)
One atom of each set of equivalent atoms:
Sr  0.0000  0.0000  0.0000 [1 per cell]
B  0.0000  0.5000  0.5000 [2 per cell]
Ir  0.5000  0.5000  0.5000 [1 per cell]
Cl  0.5000  0.5000  0.0000 [1 per cell]

Output
- ΔE_f (raw) (eV/atom) = -0.16

---

No. 6
DFT (PBE) results for a relaxed structure of Tc2BIrCl.

a b c (Å): 4.9999 4.9999 3.9887
angles (deg): 90.00 90.00 90.00
Space group P4/mmm (No. 123)
One atom of each set of equivalent atoms:
Tc  0.0000  0.5000  0.0000 [2 per cell]
B  0.0000  0.0000  0.5000 [1 per cell]
Ir  0.0000  0.0000  0.0000 [1 per cell]
Cl  0.5000  0.5000  0.5000 [1 per cell]

Output
- ΔE_f (raw) (eV/atom) = 1.47